DFT (GGA-PBE) results for a relaxed structure of TlGaP2Cl.

It has space group P4/mmm (No. 123), with a = 4.7523 Å, b = 4.7523 Å, c = 5.4465 Å, α = 90.00°, β = 90.00° and γ = 90.00°. The asymmetric unit holds Tl at (0.0000, 0.0000, 0.0000), Ga at (0.5000, 0.5000, 0.5000), P at (0.0000, 0.5000, 0.5000) and Cl at (0.5000, 0.5000, 0.0000).

The value obtained for the energy relative to the lowest polymorph listed for this composition is 0 meV per atom. Its total energy is -3.343 eV/atom. Its total magnetic moment is 1.01 μB per formula unit. The value obtained for the uncorrected formation energy is 269.3 meV/atom.